Entry 1:
An optimized crystal structure of AgHg2As2, computed with PBE.

Output
The space group is P4/mbm (127). As for the relative energy among the computed polymorphs: 112 meV per atom. The value obtained for the calculated formation energy is 34.92 kJ per mole of atoms.

a = 7.548 Å, b = 7.548 Å, c = 4.165 Å
α = 90.00°, β = 90.00°, γ = 90.00°
Fractional positions:
Ag  0.000  0.000  0.000
Ag  0.500  0.500  0.000
Hg  0.173  0.327  0.000
Hg  0.327  0.827  0.000
Hg  0.673  0.173  0.000
Hg  0.827  0.673  0.000
As  0.117  0.617  0.500
As  0.383  0.117  0.500
As  0.617  0.883  0.500
As  0.883  0.383  0.500



Entry 2:
An optimized crystal structure of Ag2HgAs, computed with PBE.

Output
The space group is P4/mmm (123). The value obtained for the calculated formation energy is 15.28 kJ per mole of atoms.

a = 4.278 Å, b = 4.278 Å, c = 4.254 Å
α = 90.00°, β = 90.00°, γ = 90.00°
Fractional positions:
Ag  0.000  0.500  0.000
Ag  0.500  0.000  0.000
Hg  0.000  0.000  0.500
As  0.500  0.500  0.500



Entry 3:
An optimized crystal structure of AgHgAs2, computed with PBE.

Output
The space group is P2/m (10). The value obtained for the calculated formation energy is 20.35 kJ per mole of atoms.

a = 2.972 Å, b = 4.255 Å, c = 7.283 Å
α = 90.00°, β = 90.12°, γ = 90.00°
Fractional positions:
Ag  0.000  0.000  0.000
Hg  0.500  0.000  0.500
As  0.499  0.500  0.823
As  0.501  0.500  0.177



Entry 4:
An optimized crystal structure of AgHg3As, computed with PBE.

Output
The space group is Pm-3m (221). As for the relative energy among the computed polymorphs: 166 meV per atom. The value obtained for the calculated formation energy is 55.34 kJ per mole of atoms.

a = 5.446 Å, b = 5.446 Å, c = 5.446 Å
α = 90.00°, β = 90.00°, γ = 90.00°
Fractional positions:
Ag  0.000  0.000  0.000
Hg  0.000  0.000  0.500
Hg  0.000  0.500  0.000
Hg  0.500  0.000  0.000
As  0.500  0.500  0.500



Entry 5:
An optimized crystal structure of Ag2HgAs, computed with PBE.

Output
The space group is Imm2 (44). The value obtained for the calculated formation energy is 13.74 kJ per mole of atoms.

a = 2.970 Å, b = 4.445 Å, c = 12.979 Å
α = 90.00°, β = 90.00°, γ = 90.00°
Fractional positions:
Ag  0.000  0.000  0.000
Ag  0.000  0.500  0.250
Ag  0.500  0.000  0.750
Ag  0.500  0.500  0.500
Hg  0.000  0.000  0.412
Hg  0.500  0.500  0.912
As  0.000  0.500  0.680
As  0.500  0.000  0.180



Entry 6:
An optimized crystal structure of Ag2HgAs, computed with PBE.

Output
The space group is P4/mmm (123). The value obtained for the calculated formation energy is 14.76 kJ per mole of atoms.

a = 3.112 Å, b = 3.112 Å, c = 8.111 Å
α = 90.00°, β = 90.00°, γ = 90.00°
Fractional positions:
Ag  0.000  0.000  0.237
Ag  0.000  0.000  0.763
Hg  0.500  0.500  0.500
As  0.500  0.500  0.000



Entry 7:
An optimized crystal structure of AgHg2As2, computed with PBE.

Output
The space group is I4/mmm (139). As for the relative energy among the computed polymorphs: 84 meV per atom. The value obtained for the calculated formation energy is 32.19 kJ per mole of atoms.

a = 3.975 Å, b = 3.975 Å, c = 16.361 Å
α = 90.00°, β = 90.00°, γ = 90.00°
Fractional positions:
Ag  0.000  0.000  0.000
Ag  0.500  0.500  0.500
Hg  0.000  0.500  0.250
Hg  0.000  0.500  0.750
Hg  0.500  0.000  0.250
Hg  0.500  0.000  0.750
As  0.000  0.000  0.429
As  0.000  0.000  0.571
As  0.500  0.500  0.071
As  0.500  0.500  0.929



Entry 8:
An optimized crystal structure of AgHgAs2, computed with PBE.

Output
The space group is C2/m (12). The value obtained for the calculated formation energy is 8.99 kJ per mole of atoms.

a = 11.559 Å, b = 3.655 Å, c = 4.676 Å
α = 90.00°, β = 107.72°, γ = 90.00°
Fractional positions:
Ag  0.000  0.000  0.000
Ag  0.500  0.500  0.000
Hg  0.000  0.500  0.500
Hg  0.500  0.000  0.500
As  0.239  0.000  0.170
As  0.261  0.500  0.830
As  0.739  0.500  0.170
As  0.761  0.000  0.830